1.
First-principles (GGA-PBE) data for a relaxed structure of Ho3Zr2NbN6, as listed in Alexandria.

Total magnetic moment   0.0 μB per formula unit
Mass density   9.1 g cm⁻³
Raw total energy   -0.67528 Ry per atom
V   12.928 Å³/atom
Formation energy without anion corrections   -1.617 eV per atom

extended XYZ file:
```
12
Lattice="-3.470 -3.553 -2.844 2.397 -1.672 4.920 -3.929 3.725 2.067" Properties=species:S:1:pos:R:3 pbc="T T T"
Ho -0.543 -0.122 4.663
Ho -4.459 -1.378 -0.520
Ho -2.501 -0.750 2.072
Zr 0.444 -2.298 2.335
Zr -1.516 -2.926 -0.259
Nb 0.000 0.000 0.000
N -4.797 -1.407 1.860
N -1.729 -3.012 2.036
N -0.205 -0.092 2.283
N -2.844 -0.781 4.444
N -3.273 1.512 2.107
N -2.158 -0.718 -0.301
```

2.
First-principles (GGA-PBE) data for a relaxed structure of Nd3HoN4, as listed in Alexandria.

Total magnetic moment   0.0 μB per formula unit
Mass density   8.2 g cm⁻³
Raw total energy   -0.58364 Ry per atom
V   16.599 Å³/atom
Formation energy without anion corrections   -1.418 eV per atom

extended XYZ file:
```
8
Lattice="-2.130 -3.363 -3.191 4.596 -1.073 -1.938 0.606 -3.683 3.478" Properties=species:S:1:pos:R:3 pbc="T T T"
Nd 2.601 -2.378 0.770
Nd -0.762 -3.523 0.143
Nd 1.233 -2.218 -2.564
Ho 0.000 0.000 0.000
N -1.065 -1.681 -1.595
N 2.298 -0.537 -0.969
N 0.303 -1.842 1.739
N 1.536 -4.060 -0.825
```

3.
First-principles (GGA-PBE) data for a relaxed structure of Nd3Ho2N4, as listed in Alexandria.

Total magnetic moment   0.0 μB per formula unit
Mass density   8.3 g cm⁻³
Raw total energy   -0.56174 Ry per atom
V   18.167 Å³/atom
Formation energy without anion corrections   -1.336 eV per atom

extended XYZ file:
```
9
Lattice="-1.452 -0.774 -3.150 -1.519 -1.170 2.992 -8.200 12.478 0.698" Properties=species:S:1:pos:R:3 pbc="T T T"
Nd -4.586 3.828 -0.832
Nd 0.000 0.000 0.000
Nd -6.585 6.706 1.373
Ho -8.120 9.207 -0.539
Ho -3.051 1.328 1.080
N -8.833 10.126 1.568
N -3.845 2.867 -2.942
N -7.326 7.668 3.482
N -2.338 0.408 -1.027
```

4.
First-principles (GGA-PBE) data for a relaxed structure of NdHoN2, as listed in Alexandria.

Total magnetic moment   0.0 μB per formula unit
Mass density   8.7 g cm⁻³
Raw total energy   -0.56432 Ry per atom
V   16.178 Å³/atom
Formation energy without anion corrections   -1.179 eV per atom

extended XYZ file:
```
4
Lattice="-2.023 2.589 1.169 -1.150 -3.291 0.096 2.391 -0.670 5.621" Properties=species:S:1:pos:R:3 pbc="T T T"
Nd 0.620 -1.980 2.859
Ho -0.575 -1.645 0.048
N -0.485 -1.527 5.142
N -0.297 0.155 1.744
```

5.
First-principles (GGA-PBE) data for a relaxed structure of Nd3HoN, as listed in Alexandria.

Total magnetic moment   0.0 μB per formula unit
Mass density   7.5 g cm⁻³
Raw total energy   -0.43303 Ry per atom
V   27.194 Å³/atom
Formation energy without anion corrections   -0.450 eV per atom

extended XYZ file:
```
5
Lattice="-1.923 -4.296 -2.070 1.833 -2.726 3.956 -4.402 0.742 2.552" Properties=species:S:1:pos:R:3 pbc="T T T"
Nd 0.917 -1.363 1.978
Nd -2.201 0.371 1.276
Nd -0.962 -2.148 -1.035
Ho -2.246 -3.141 2.219
N 0.000 0.000 0.000
```

6.
First-principles (GGA-PBE) data for a relaxed structure of NdHoN2, as listed in Alexandria.

Total magnetic moment   0.0 μB per formula unit
Mass density   8.7 g cm⁻³
Raw total energy   -0.57130 Ry per atom
V   16.010 Å³/atom
Formation energy without anion corrections   -1.274 eV per atom

extended XYZ file:
```
4
Lattice="-2.295 -2.158 1.504 1.038 -2.156 2.542 -1.708 2.813 5.480" Properties=species:S:1:pos:R:3 pbc="T T T"
Nd -2.526 -0.131 8.113
Ho -1.477 -0.770 4.745
N -1.389 1.758 4.456
N -0.765 -0.298 2.457
```